DFT (GGA-PBE) results for an optimized crystal structure of CaRe2Ir.

## Properties
ΔE_f = 0.57 eV/atom
ΔE to the lowest computed polymorph = 1.32 eV/f.u.
electronic total energy = -8.3714 eV per atom
V = 73 Å³/cell

```
data_CaRe2Ir
_chemical_formula_sum 'Ca1 Re2 Ir1'
_space_group_name_H-M_alt 'P m m m'
_space_group_IT_number 47
_space_group_name_Hall '-P 2 2'
_cell_length_a 2.737
_cell_length_b 3.889
_cell_length_c 6.894
_cell_angle_alpha 90.00
_cell_angle_beta 90.00
_cell_angle_gamma 90.00
loop_
_atom_site_label
_atom_site_type_symbol
_atom_site_fract_x
_atom_site_fract_y
_atom_site_fract_z
_atom_site_occupancy
Ca1 Ca 0.000 0.000 0.000 1
Re1 Re 0.500 0.500 0.313 1
Ir1 Ir 0.000 0.000 0.500 1
```